Entry 1:
Computed, not measured: crystalline AsIr2Ru at its relaxed geometry at the PBE-GGA level of DFT.

Values from the calculation:
Calculated total energy = -29.9 eV/cell
Formation enthalpy at 0 K = 0.434 eV/atom

Cell lengths 2.788, 2.788, 9.048 Å; angles 90.00, 90.00, 120.66 degrees
Positions (direct):
1 Ru 0.000 0.000 0.505
2 As 0.500 0.500 0.747
3 Ir 0.000 0.000 0.994
4 Ir 0.500 0.500 0.254

***

Entry 2:
Computed, not measured: crystalline La2Fe2Ni at its relaxed geometry at the PBE-GGA level of DFT.

Values from the calculation:
Calculated total energy = -63.6 eV/cell
Formation enthalpy at 0 K = 0.149 eV/atom

Cell lengths 6.836, 6.836, 4.233 Å; angles 90.00, 90.00, 90.00 degrees
Last column: magnetic moment on the atom in μB.
Positions (direct):
1 Ni 0.000 0.000 0.000  0.14
2 Ni 0.500 0.500 0.000  0.14
3 Fe 0.383 0.883 0.000  1.84
4 Fe 0.883 0.617 0.000  1.74
5 Fe 0.617 0.117 0.000  1.84
6 Fe 0.117 0.383 0.000  1.74
7 La 0.188 0.688 0.500  -0.19
8 La 0.688 0.812 0.500  -0.19
9 La 0.812 0.312 0.500  -0.19
10 La 0.312 0.188 0.500  -0.19

***

Entry 3:
Computed, not measured: crystalline Ba2ZrTe3O12 at its relaxed geometry at the PBE-GGA level of DFT.

Values from the calculation:
Calculated total energy = -113.6 eV/cell
ΔE_f (raw) = -1.79 eV per atom

Cell lengths 7.562, 7.562, 7.562 Å; angles 60.31, 60.31, 60.31 degrees
Positions (direct):
1 Ba 0.676 0.676 0.676
2 Ba 0.324 0.324 0.324
3 Zr 0.000 0.000 0.000
4 Te 0.500 0.000 0.000
5 Te 0.000 0.500 0.000
6 Te 0.000 0.000 0.500
7 O 0.318 0.318 0.944
8 O 0.925 0.925 0.333
9 O 0.333 0.925 0.925
10 O 0.944 0.318 0.318
11 O 0.925 0.333 0.925
12 O 0.318 0.944 0.318
13 O 0.682 0.682 0.056
14 O 0.075 0.075 0.667
15 O 0.667 0.075 0.075
16 O 0.056 0.682 0.682
17 O 0.075 0.667 0.075
18 O 0.682 0.056 0.682

***

Entry 4:
Computed, not measured: crystalline ZnP2Pd2 at its relaxed geometry at the PBE-GGA level of DFT.

Values from the calculation:
Calculated total energy = -46.2 eV/cell
Formation enthalpy at 0 K = -0.127 eV/atom

Cell lengths 6.209, 6.209, 4.105 Å; angles 90.00, 90.00, 90.00 degrees
Positions (direct):
1 P 0.379 0.879 0.000
2 P 0.879 0.621 0.000
3 P 0.621 0.121 0.000
4 P 0.121 0.379 0.000
5 Zn 0.000 0.000 0.000
6 Zn 0.500 0.500 0.000
7 Pd 0.245 0.745 0.500
8 Pd 0.745 0.755 0.500
9 Pd 0.755 0.255 0.500
10 Pd 0.255 0.245 0.500

***

Entry 5:
Computed, not measured: crystalline LiThIn5 at its relaxed geometry at the PBE-GGA level of DFT.

Values from the calculation:
Calculated total energy = -24.7 eV/cell
Formation enthalpy at 0 K = -0.241 eV/atom

Cell lengths 4.820, 4.820, 7.630 Å; angles 90.00, 90.00, 90.00 degrees
Positions (direct):
1 Li 0.000 0.000 0.500
2 Th 0.000 0.000 0.000
3 In 0.500 0.000 0.698
4 In 0.000 0.500 0.698
5 In 0.500 0.500 0.000
6 In 0.000 0.500 0.302
7 In 0.500 0.000 0.302

***

Entry 6:
Computed, not measured: crystalline PrRh3Pb at its relaxed geometry at the PBE-GGA level of DFT.

Values from the calculation:
Calculated total energy = -64.0 eV/cell
Formation enthalpy at 0 K = -0.293 eV/atom

Cell lengths 6.664, 6.664, 6.664 Å; angles 109.47, 129.90, 91.44 degrees
Positions (direct):
1 Pr 0.984 0.734 0.750
2 Pr 0.016 0.266 0.250
3 Rh 0.500 0.302 0.302
4 Rh 0.000 0.698 0.198
5 Rh 0.500 0.698 0.698
6 Rh 0.000 0.302 0.802
7 Rh 0.714 0.964 0.250
8 Rh 0.286 0.036 0.750
9 Pb 0.500 0.500 0.000
10 Pb 0.500 0.000 0.500

***

Look up the calculated total energy of the second one.
-63.6 eV/cell

***

Please write out number 4 again, unchanged.
Computed, not measured: crystalline ZnP2Pd2 at its relaxed geometry at the PBE-GGA level of DFT.

Values from the calculation:
Calculated total energy = -46.2 eV/cell
Formation enthalpy at 0 K = -0.127 eV/atom

Cell lengths 6.209, 6.209, 4.105 Å; angles 90.00, 90.00, 90.00 degrees
Positions (direct):
1 P 0.379 0.879 0.000
2 P 0.879 0.621 0.000
3 P 0.621 0.121 0.000
4 P 0.121 0.379 0.000
5 Zn 0.000 0.000 0.000
6 Zn 0.500 0.500 0.000
7 Pd 0.245 0.745 0.500
8 Pd 0.745 0.755 0.500
9 Pd 0.755 0.255 0.500
10 Pd 0.255 0.245 0.500

***

The highest calculated total energy belongs to which entry?
LiThIn5

***

What is the calculated total energy in the fifth record?
-24.7 eV/cell